1.
Computed, not measured: a relaxed structure of ErLuTlGa at the PBE level of DFT.

Summary:
- V: 97.0 Å³ per cell
- DFT total energy: -0.2946 Ry/atom
- E_form: -0.389 eV/atom

The structure in extended XYZ format:
```
4
Lattice="5.158 0.000 0.000 2.579 4.467 0.000 2.579 1.489 4.211" Properties=species:S:1:pos:R:3 pbc="T T T"
Lu 0.000 0.000 0.000
Tl 2.579 1.489 1.053
Ga 7.737 4.467 3.159
Er 5.158 2.978 2.106
```

=====

2.
Computed, not measured: a relaxed structure of ErLuZnGa at the PBE level of DFT.

Summary:
- V: 86.9 Å³ per cell
- DFT total energy: -0.2806 Ry/atom
- E_form: -0.471 eV/atom

The structure in extended XYZ format:
```
4
Lattice="-0.495 -1.566 -4.692 3.706 -2.479 -2.197 -0.483 -4.853 -0.962" Properties=species:S:1:pos:R:3 pbc="T T T"
Er 0.000 0.000 0.000
Lu 1.364 -4.449 -3.925
Ga 0.682 -2.225 -1.963
Zn 2.046 -6.674 -5.888
```

=====

3.
Computed, not measured: a relaxed structure of ErMg4Ga15 at the PBE level of DFT.

Summary:
- V: 373.5 Å³ per cell
- DFT total energy: -0.2200 Ry/atom
- E_form: -0.176 eV/atom

The structure in extended XYZ format:
```
20
Lattice="4.212 0.000 0.000 0.000 4.212 0.000 0.000 0.000 21.054" Properties=species:S:1:pos:R:3 pbc="T T T"
Ga 2.106 0.000 10.527
Ga 2.106 0.000 2.194
Ga 2.106 2.106 0.000
Ga 2.106 2.106 16.773
Ga 0.000 2.106 10.527
Ga 2.106 0.000 18.860
Ga 2.106 0.000 6.328
Ga 0.000 2.106 6.328
Ga 2.106 2.106 4.281
Ga 2.106 0.000 14.727
Ga 0.000 2.106 2.194
Ga 2.106 2.106 8.434
Ga 0.000 2.106 14.727
Ga 0.000 2.106 18.860
Ga 2.106 2.106 12.620
Mg 0.000 0.000 16.818
Mg 0.000 0.000 4.236
Mg 0.000 0.000 8.413
Mg 0.000 0.000 12.641
Er 0.000 0.000 0.000
```

=====

4.
Computed, not measured: a relaxed structure of ErMg3Ga3 at the PBE level of DFT.

Summary:
- V: 385.1 Å³ per cell
- DFT total energy: -0.1623 Ry/atom
- E_form: 0.424 eV/atom

The structure in extended XYZ format:
```
14
Lattice="7.275 0.000 0.000 0.000 7.275 0.000 0.000 0.000 7.275" Properties=species:S:1:pos:R:3 pbc="T T T"
Ga 0.000 3.638 5.457
Ga 3.638 5.457 0.000
Ga 5.457 0.000 3.638
Ga 1.819 0.000 3.638
Ga 3.638 1.819 0.000
Ga 0.000 3.638 1.819
Mg 3.638 0.000 1.819
Mg 1.819 3.638 0.000
Mg 0.000 1.819 3.638
Mg 3.638 0.000 5.457
Mg 0.000 5.457 3.638
Mg 5.457 3.638 0.000
Er 3.638 3.638 3.638
Er 0.000 0.000 0.000
```

=====

5.
Computed, not measured: a relaxed structure of Er4MgGa3 at the PBE level of DFT.

Summary:
- V: 367.0 Å³ per cell
- DFT total energy: -0.2989 Ry/atom
- E_form: -0.451 eV/atom

The structure in extended XYZ format:
```
16
Lattice="5.069 0.000 0.000 0.000 7.141 0.000 0.000 0.000 10.139" Properties=species:S:1:pos:R:3 pbc="T T T"
Mg 0.000 3.570 0.000
Mg 0.000 3.570 5.070
Ga 2.530 0.000 2.535
Ga 2.539 0.000 7.604
Ga 2.530 3.570 2.535
Ga 0.000 0.000 0.000
Ga 0.000 0.000 5.070
Ga 2.539 3.570 7.604
Er 0.003 5.411 7.604
Er 2.534 1.730 0.000
Er 2.534 1.730 5.070
Er 2.534 5.411 0.000
Er 5.066 5.411 2.535
Er 5.066 1.730 2.535
Er 2.534 5.411 5.070
Er 0.003 1.730 7.604
```

=====

6.
Computed, not measured: a relaxed structure of ErMg2Ga4 at the PBE level of DFT.

Summary:
- V: 279.3 Å³ per cell
- DFT total energy: -0.2321 Ry/atom
- E_form: -0.321 eV/atom

The structure in extended XYZ format:
```
14
Lattice="0.247 5.277 -2.606 0.461 -2.580 -5.181 -8.407 0.402 2.305" Properties=species:S:1:pos:R:3 pbc="T T T"
Ga -1.037 0.670 -2.278
Ga -2.487 2.614 -1.207
Ga -6.984 0.902 0.331
Ga -2.565 -0.275 -0.407
Ga -5.213 0.485 -4.274
Ga -5.134 3.374 -5.074
Ga -0.716 2.197 -5.812
Ga -6.662 2.430 -3.204
Mg -2.837 2.034 -4.008
Mg -2.888 -1.009 -3.518
Mg -4.811 4.109 -1.964
Mg -4.862 1.065 -1.473
Er 0.419 -0.681 -4.668
Er 0.289 3.378 -3.119
```